1.
This record from Alexandria via LeMat-Bulk describes a geometry-optimized Sr2MgSe structure. The functional is PBE-GGA.

The space group is Cmmm (No. 65) and the conventional cell measures 5.5246, 5.5345 and 8.4425 Å, with angles of 90.00, 90.00 and 90.00 degrees. The distinct sites, in fractional coordinates, are Sr at (0.0000, 0.0000, 0.2179), Mg at (0.0000, 0.5000, 0.5000) and Se at (0.0000, 0.5000, 0.0000).

Its excess energy over the best structure of this formula in the dataset is 0.039 eV per atom. For the total magnetization, the calculation gives 0.00 μB/atom. The crystal system is orthorhombic. As for the formation energy without anion corrections: -853 meV/atom.



2.
This record from Alexandria via LeMat-Bulk describes a geometry-optimized CoCu4Rh structure. The functional is PBE-GGA.

The space group is F-43m (No. 216) and the conventional cell measures 6.6910, 6.6910 and 6.6910 Å, with angles of 90.00, 90.00 and 90.00 degrees. The distinct sites, in fractional coordinates, are Co at (0.0000, 0.0000, 0.0000), Cu at (0.1251, 0.1251, 0.6251) and Rh at (0.2500, 0.2500, 0.2500).

For the total magnetization, the calculation gives 0.37 μB/atom. The crystal system is cubic. Its formation energy is 0.21 eV/atom.



3.
This record from Alexandria via LeMat-Bulk describes a geometry-optimized SrNiTe2 structure. The functional is PBE-GGA.

The space group is I-4m2 (No. 119) and the conventional cell measures 4.4077, 4.4077 and 10.8582 Å, with angles of 90.00, 90.00 and 90.00 degrees. The distinct sites, in fractional coordinates, are Sr at (0.0000, 0.0000, 0.0000), Ni at (0.0000, 0.5000, 0.2500), Te at (0.0000, 0.0000, 0.5000) and Te at (0.0000, 0.5000, 0.7500).

For the total magnetization, the calculation gives 0.00 μB/atom. The crystal system is tetragonal. As for the formation energy without anion corrections: -249 meV/atom.